No. 1
The following is a DFT calculation (meta-GGA SCAN) of a PBEsol-optimized structure of Li17Co4O16.

Results
VASP energy: -7.4402 eV per atom

POSCAR file:
```
Li17Co4O16
1.0
6.5637 0.0000 0.0000
0.0000 7.1491 0.1327
0.0000 -0.0196 7.4852
Co O Li
4 16 17
Cartesian
0.0000 5.6354 1.2306
3.2819 1.9115 2.6152
3.2819 5.0687 4.9196
0.0000 1.5840 6.3495
5.0353 5.7509 0.2698
1.5284 5.7509 0.2698
0.0000 3.8964 1.7112
3.2819 3.4180 1.5421
0.0000 7.0899 2.3225
3.2819 0.2350 1.9195
4.7518 2.0203 3.6643
1.8119 2.0203 3.6643
4.9434 4.9838 4.2992
1.6203 4.9838 4.2992
3.2819 6.8449 5.0272
0.0000 0.1321 5.3153
3.2819 3.5662 5.8436
0.0000 3.3923 6.2518
4.8668 1.5047 6.8644
1.6970 1.5047 6.8644
5.2353 3.7454 0.1542
1.3284 3.7454 0.1542
3.2819 2.3698 7.3721
4.9714 0.4229 0.9795
1.5924 0.4229 0.9795
4.9991 3.7908 2.7732
1.5646 3.7908 2.7732
0.0000 5.2623 5.2884
1.7896 6.8540 3.6271
4.7741 6.8540 3.6271
0.0000 1.3562 3.5283
5.0209 3.2441 5.1465
1.5428 3.2441 5.1465
3.2819 1.5830 5.1296
1.7468 6.8666 6.2291
4.8169 6.8666 6.2291
3.2819 5.4930 1.0390
```

No. 2
The following is a DFT calculation (meta-GGA SCAN) of a PBEsol-optimized structure of Li9Co7O16.

Results
Energy above the lowest structure with this stoichiometry: 19 meV/atom

POSCAR file:
```
Li9Co7O16
1.0
2.8077 0.0187 0.0364
-0.0315 4.8830 -0.0751
-0.2310 -1.1845 18.4424
Co O Li
7 16 9
Cartesian
-0.2302 -1.1415 18.3897
-0.1811 0.2878 13.8646
1.2480 1.0601 11.5086
2.6763 1.8443 9.2155
1.2970 2.6182 6.8878
2.7257 3.4102 4.5962
1.3470 4.1744 2.2657
1.1595 2.9635 17.4020
-0.2155 3.6969 14.7991
1.2421 -0.3744 12.7304
2.6706 0.3777 10.4302
1.2910 1.1520 8.1056
2.7194 1.9441 5.8167
1.3405 2.7145 3.4940
-0.0386 3.4887 1.1913
1.2055 1.0838 14.8139
2.6337 1.7448 12.5833
1.2538 2.5206 10.2814
2.6821 3.3107 7.9953
1.3030 4.0842 5.6696
2.7634 -0.0068 3.4559
1.3851 0.7249 1.1179
-0.2267 0.3319 17.3794
-0.2205 2.0146 16.0895
1.2074 2.7845 13.8439
-0.1719 3.4883 11.5002
1.2562 4.2733 9.1764
2.7163 0.1857 6.9433
1.3373 0.9619 4.5985
2.7671 1.7457 2.2753
1.1585 1.2631 18.3718
1.1987 -0.4178 16.1452
```

No. 3
The following is a DFT calculation (meta-GGA SCAN) of a PBEsol-optimized structure of LiCoO2.

Results
VASP energy: -9.8315 eV per atom

POSCAR file:
```
LiCoO2
1.0
4.8606 -0.0227 0.0179
-0.8286 4.8008 -0.0288
-1.6154 -2.7019 6.7532
Li Co O
5 5 10
Cartesian
-0.3673 3.2504 2.7593
0.4089 -0.6957 5.2731
1.2083 1.0382 3.3711
2.0076 2.7720 1.4691
2.7839 -1.1741 3.9830
-1.2138 1.4961 4.6701
-0.4143 2.4004 -0.0144
1.1985 1.8465 6.0503
1.2180 0.2298 0.6919
3.6304 0.5802 2.0722
-1.2876 -1.8806 5.8538
-0.5151 0.9088 6.3509
-0.5273 0.0604 3.6985
0.3277 1.6334 1.5541
0.3608 2.4833 4.4883
2.0557 -0.4070 2.2539
2.0889 0.4430 5.1882
2.9439 2.0159 3.0437
2.9317 1.1675 0.3913
3.7042 3.9569 0.8885
```

Which formula does entry 3 have?
LiCoO2

What is the formula in the second record?
Li9Co7O16